A geometry-optimized SrHoCuTe2Se structure. Source: OQMD via LeMat-Bulk, functional PBE.

Results
SG: Cmcm (63)
Raw total energy, eV per atom: -4.6017

Structure (extended XYZ):
```
12
Lattice="2.114 -7.257 0.000 2.114 7.257 0.000 0.000 0.000 10.712" Properties=species:S:1:pos:R:3 pbc="T T T"
Sr 2.114 3.893 8.034
Sr 2.114 -3.893 2.678
Ho 2.114 0.000 0.000
Ho 2.114 0.000 5.356
Cu 2.114 6.893 2.678
Cu 2.114 -6.893 8.034
Te 2.114 5.159 0.676
Te 2.114 5.159 4.680
Te 2.114 -5.159 6.032
Te 2.114 -5.159 10.036
Se 2.114 1.027 2.678
Se 2.114 -1.027 8.034
```

***

A geometry-optimized CsCuTe3Pt structure. Source: OQMD via LeMat-Bulk, functional PBE.

Results
Energy above the lowest structure with this stoichiometry, meV per atom: 0
SG: Cmcm (63)
Raw total energy, eV per atom: -3.7461

Structure (extended XYZ):
```
12
Lattice="2.054 -8.217 0.000 2.054 8.217 0.000 0.000 0.000 11.238" Properties=species:S:1:pos:R:3 pbc="T T T"
Cs 2.054 4.169 8.428
Cs 2.054 -4.169 2.809
Cu 2.054 0.782 2.809
Cu 2.054 -0.782 8.428
Te 2.054 7.428 2.809
Te 2.054 1.725 0.384
Te 2.054 1.725 5.235
Te 2.054 -1.725 6.003
Te 2.054 -1.725 10.854
Te 2.054 -7.428 8.428
Pt 0.000 0.000 0.000
Pt 0.000 0.000 5.619
```

***

A geometry-optimized LaNdAl6 structure. Source: OQMD via LeMat-Bulk, functional PBE.

Results
SG: P-6m2 (187)
Raw total energy, eV per atom: -4.4671

Structure (extended XYZ):
```
8
Lattice="6.620 0.000 0.000 -3.310 5.733 0.000 0.000 0.000 4.585" Properties=species:S:1:pos:R:3 pbc="T T T"
La 0.000 0.000 0.000
Nd 3.310 1.911 2.293
Al -1.395 3.017 0.000
Al 0.000 2.224 2.293
Al -1.384 4.621 2.293
Al 1.395 3.017 0.000
Al 0.000 5.433 0.000
Al 1.384 4.621 2.293
```

***

A geometry-optimized RbHfAg3Te4 structure. Source: OQMD via LeMat-Bulk, functional PBE.

Results
Energy above the lowest structure with this stoichiometry, meV per atom: 28
SG: P-43m (215)
Raw total energy, eV per atom: -4.0583

Structure (extended XYZ):
```
9
Lattice="6.929 0.000 0.000 0.000 6.929 0.000 0.000 0.000 6.929" Properties=species:S:1:pos:R:3 pbc="T T T"
Rb 0.000 0.000 0.000
Hf 3.464 3.464 3.464
Ag 0.000 3.464 3.464
Ag 3.464 0.000 3.464
Ag 3.464 3.464 0.000
Te 1.900 1.900 1.900
Te 1.900 5.028 5.028
Te 5.028 1.900 5.028
Te 5.028 5.028 1.900
```

***

A geometry-optimized TaGeNO structure. Source: OQMD via LeMat-Bulk, functional PBE.

Results
Energy above the lowest structure with this stoichiometry, meV per atom: 553
SG: P4/nmm (129)
Raw total energy, eV per atom: -7.8267

Structure (extended XYZ):
```
8
Lattice="3.288 0.000 0.000 0.000 3.288 0.000 0.000 0.000 8.580" Properties=species:S:1:pos:R:3 pbc="T T T"
Ta 0.822 0.822 1.361
Ta 2.466 2.466 7.219
Ge 0.822 2.466 4.290
Ge 2.466 0.822 4.290
N 0.822 0.822 6.522
N 2.466 2.466 2.059
O 0.822 2.466 0.000
O 2.466 0.822 0.000
```

***

A geometry-optimized LaInNi structure. Source: OQMD via LeMat-Bulk, functional PBE.

Results
SG: P-62m (189)
Raw total energy, eV per atom: -4.7728

Structure (extended XYZ):
```
9
Lattice="7.944 0.000 0.000 -3.972 6.879 0.000 0.000 0.000 3.950" Properties=species:S:1:pos:R:3 pbc="T T T"
La -2.667 4.619 0.000
La 1.305 2.260 0.000
La 5.334 0.000 0.000
In -1.339 2.318 1.975
In 2.677 0.000 1.975
In 2.633 4.561 1.975
Ni 0.000 0.000 1.975
Ni 0.000 4.586 1.975
Ni 3.972 2.293 1.975
```

***

A geometry-optimized Zn4P6SeN12 structure. Source: OQMD via LeMat-Bulk, functional PBE.

Results
SG: I-43m (217)
Raw total energy, eV per atom: -6.6481

Structure (extended XYZ):
```
23
Lattice="-4.121 4.121 4.121 4.121 -4.121 4.121 4.121 4.121 -4.121" Properties=species:S:1:pos:R:3 pbc="T T T"
Zn 1.407 1.407 -1.407
Zn 1.407 -1.407 1.407
Zn -1.407 1.407 1.407
Zn 2.714 2.714 2.714
P 4.121 2.061 0.000
P 4.121 0.000 2.061
P 2.061 4.121 0.000
P 2.061 0.000 4.121
P 0.000 4.121 2.061
P 0.000 2.061 4.121
Se 0.000 0.000 0.000
N 3.398 1.161 -1.161
N 3.398 -1.161 1.161
N 1.161 3.398 -1.161
N 1.161 -1.161 3.398
N 4.844 1.161 1.161
N 2.960 2.960 0.723
N 2.960 0.723 2.960
N -1.161 3.398 1.161
N -1.161 1.161 3.398
N 0.723 2.960 2.960
N 1.161 4.844 1.161
N 1.161 1.161 4.844
```

***

A geometry-optimized SrCuNi2 structure. Source: OQMD via LeMat-Bulk, functional PBE.

Results
SG: F-43m (216)
Raw total energy, eV per atom: -3.7208

Structure (extended XYZ):
```
4
Lattice="0.000 3.218 3.218 3.218 0.000 3.218 3.218 3.218 0.000" Properties=species:S:1:pos:R:3 pbc="T T T"
Sr 0.000 0.000 0.000
Cu 1.609 1.609 1.609
Ni 3.218 3.218 3.218
Ni 4.826 4.826 4.826
```